Below is a relaxed structure of Li4Pt, with properties calculated at the PBE level.

Computed properties:
- space-group type = Im-3m (229)
- E above lowest polymorph (eV/atom) = 0.139
- formation enthalpy at 0 K (eV/atom) = -0.216
- raw total energy (eV per atom) = -2.96
- magnetic moment (μB/f.u.) = 0.0

Structure (POSCAR):
```
Li4Pt
1.0
-2.917 2.917 2.917
2.917 -2.917 2.917
2.917 2.917 -2.917
Li Pt
4 1
Cartesian
1.458 1.458 -1.458
1.458 -1.458 1.458
-1.458 1.458 1.458
1.458 1.458 1.458
0.000 0.000 0.000
```

Below is a relaxed structure of Li4Pt, with properties calculated at the PBE level.

Computed properties:
- space-group type = Pm-3m (221)
- E above lowest polymorph (eV/atom) = 0.251
- formation enthalpy at 0 K (eV/atom) = -0.105
- raw total energy (eV per atom) = -2.84
- magnetic moment (μB/f.u.) = 0.0

Structure (POSCAR):
```
Li4Pt
1.0
4.780 0.000 0.000
0.000 4.780 0.000
0.000 0.000 4.780
Li Pt
4 1
Cartesian
0.000 0.000 0.000
0.000 2.390 2.390
2.390 0.000 2.390
2.390 2.390 0.000
2.390 2.390 2.390
```